Entry 1:
Compound: PmBe2AlPd5
Source: Alexandria via LeMat-Bulk
Functional: GGA-PBE
Structure: relaxed

The structure belongs to space group P4/mmm (No. 123); the cell edges are 4.4038, 4.4038 and 7.1740 Å and the angles 90.00°, 90.00° and 90.00°. Symmetry generates all atoms from Pm at (0.0000, 0.0000, 0.0000), Be at (0.5000, 0.5000, 0.3392), Al at (0.0000, 0.0000, 0.5000), Pd at (0.0000, 0.5000, 0.2942) and Pd at (0.5000, 0.5000, 0.0000).

Its total DFT energy (no corrections) is -47.32 eV/cell. For the formation energy, the calculation gives -601 meV per atom.



Entry 2:
Compound: Pm2BeAlPd6
Source: Alexandria via LeMat-Bulk
Functional: GGA-PBE
Structure: relaxed

The structure belongs to space group C2/m (No. 12); the cell edges are 10.1849, 5.8133 and 7.2074 Å and the angles 90.00°, 119.34° and 90.00°. Symmetry generates all atoms from Pm at (0.2219, 0.0000, 0.1811), Be at (0.0000, 0.0000, 0.5000), Al at (0.0000, 0.5000, 0.0000), Pd at (0.0108, 0.2582, 0.2931) and Pd at (0.2431, 0.0000, 0.6841).

Its total DFT energy (no corrections) is -110.38 eV/cell. For the formation energy, the calculation gives -706 meV per atom.



Entry 3:
Compound: PrBeAlPd3
Source: Alexandria via LeMat-Bulk
Functional: GGA-PBE
Structure: relaxed

The structure belongs to space group Cmcm (No. 63); the cell edges are 5.7865, 11.9710 and 6.2508 Å and the angles 90.00°, 90.00° and 90.00°. Symmetry generates all atoms from Pr at (0.0000, 0.2159, 0.2500), Be at (0.0000, 0.4689, 0.2500), Al at (0.0000, 0.1234, 0.7500), Pd at (0.0000, 0.3297, 0.7500) and Pd at (0.2422, 0.0000, 0.0000).

Its total DFT energy (no corrections) is -126.48 eV/cell. For the formation energy, the calculation gives -632 meV per atom.



Entry 4:
Compound: Pr3Be2AlPd9
Source: Alexandria via LeMat-Bulk
Functional: GGA-PBE
Structure: relaxed

The structure belongs to space group P-3m1 (No. 164); the cell edges are 5.9449, 5.9449 and 9.1225 Å and the angles 90.00°, 90.00° and 120.00°. Symmetry generates all atoms from Pr at (0.0000, 0.0000, 0.0000), Pr at (0.3333, 0.6667, 0.6565), Be at (0.3333, 0.6667, 0.1522), Al at (0.0000, 0.0000, 0.5000), Pd at (0.0000, 0.5000, 0.0000) and Pd at (0.1635, 0.3270, 0.2970).

Its total DFT energy (no corrections) is -82.40 eV/cell. For the formation energy, the calculation gives -676 meV per atom.